Tb3In3IrPt2: relaxed, PBE.

total energy = -5.69 eV/atom
space-group type = No. 189

Cell and atoms, written as extended XYZ:
```
9
Lattice="7.641 0.000 0.000 -3.821 6.617 0.000 0.000 0.000 3.914" Properties=species:S:1:pos:R:3 pbc="T T T"
Tb -2.278 3.946 0.000
Tb 1.542 2.672 0.000
Tb 4.556 0.000 0.000
In -0.976 1.691 1.957
In 1.953 0.000 1.957
In 2.844 4.926 1.957
Ir 0.000 0.000 0.000
Pt 0.000 4.412 1.957
Pt 3.821 2.206 1.957
```


Sm2Dy2In: relaxed, PBE.

total energy = -4.30 eV/atom
space-group type = No. 127

Cell and atoms, written as extended XYZ:
```
10
Lattice="8.212 0.000 0.000 0.000 8.212 0.000 0.000 0.000 4.639" Properties=species:S:1:pos:R:3 pbc="T T T"
Sm 1.261 2.845 0.000
Sm 2.845 6.950 0.000
Sm 5.367 1.261 0.000
Sm 6.950 5.367 0.000
Dy 1.218 5.324 2.319
Dy 2.887 1.218 2.319
Dy 5.324 6.993 2.319
Dy 6.993 2.887 2.319
In 0.000 0.000 2.319
In 4.106 4.106 2.319
```


Cu4Ag: relaxed, PBE.

total energy = -3.48 eV/atom
energy of formation from the pure elements = 0.06 eV/atom
space-group type = No. 12

Cell and atoms, written as extended XYZ:
```
10
Lattice="4.210 -1.844 0.000 4.210 1.844 0.000 -0.157 0.000 8.422" Properties=species:S:1:pos:R:3 pbc="T T T"
Cu 0.356 0.000 2.749
Cu 1.249 0.000 0.390
Cu 2.039 0.000 6.476
Cu 3.750 0.000 1.163
Cu 4.513 0.000 7.259
Cu 6.224 0.000 1.947
Cu 7.014 0.000 8.033
Cu 7.907 0.000 5.673
Ag 2.887 0.000 3.694
Ag 5.376 0.000 4.729
```


BaFeCuTc: relaxed, PBE.

total energy = -4.87 eV/atom
space-group type = No. 216

Cell and atoms, written as extended XYZ:
```
4
Lattice="0.000 3.311 3.311 3.311 0.000 3.311 3.311 3.311 0.000" Properties=species:S:1:pos:R:3 pbc="T T T"
Ba 0.000 0.000 0.000
Fe 1.655 1.655 1.655
Cu 3.311 3.311 3.311
Tc 4.966 4.966 4.966
```


CsTaNO: relaxed, PBE.

total energy = -7.89 eV/atom
space-group type = No. 29

Cell and atoms, written as extended XYZ:
```
16
Lattice="6.199 0.000 0.000 0.000 8.933 0.000 0.000 0.000 5.973" Properties=species:S:1:pos:R:3 pbc="T T T"
Cs 0.260 1.281 0.000
Cs 2.840 1.281 2.986
Cs 3.359 7.652 0.000
Cs 5.939 7.652 2.986
Ta 0.618 5.157 5.865
Ta 2.481 5.157 2.879
Ta 3.718 3.775 5.865
Ta 5.580 3.775 2.879
N 0.721 4.902 3.865
N 2.379 4.902 0.878
N 3.820 4.031 3.865
N 5.478 4.031 0.878
O 0.170 6.972 5.972
O 2.929 6.972 2.986
O 3.269 1.961 5.972
O 6.029 1.961 2.986
```


DyInPO: relaxed, PBE.

total energy = -5.68 eV/atom
space-group type = No. 129

Cell and atoms, written as extended XYZ:
```
8
Lattice="5.587 0.000 0.000 0.000 5.587 0.000 0.000 0.000 4.959" Properties=species:S:1:pos:R:3 pbc="T T T"
Dy 1.397 4.190 0.000
Dy 4.190 1.397 0.000
In 1.397 1.397 2.452
In 4.190 4.190 2.507
P 1.397 1.397 4.929
P 4.190 4.190 0.030
O 1.397 4.190 2.480
O 4.190 1.397 2.480
```


YHo2Te3: relaxed, PBE.

total energy = -5.44 eV/atom
space-group type = No. 164

Cell and atoms, written as extended XYZ:
```
6
Lattice="4.341 0.000 0.000 -2.171 3.760 0.000 0.000 0.000 10.645" Properties=species:S:1:pos:R:3 pbc="T T T"
Y 0.000 0.000 0.000
Ho 0.000 2.506 7.089
Ho 2.171 1.253 3.556
Te 0.000 0.000 5.323
Te 0.000 2.506 1.796
Te 2.171 1.253 8.850
```


DyErZn: relaxed, PBE.

total energy = -3.46 eV/atom
energy of formation from the pure elements = 0.02 eV/atom
space-group type = No. 216

Cell and atoms, written as extended XYZ:
```
3
Lattice="0.000 3.482 3.482 3.482 0.000 3.482 3.482 3.482 0.000" Properties=species:S:1:pos:R:3 pbc="T T T"
Dy 0.000 0.000 0.000
Er 3.482 3.482 3.482
Zn 1.741 1.741 1.741
```


LaAlAgAu: relaxed, PBE.

total energy = -4.16 eV/atom
space-group type = No. 216

Cell and atoms, written as extended XYZ:
```
4
Lattice="0.000 3.539 3.539 3.539 0.000 3.539 3.539 3.539 0.000" Properties=species:S:1:pos:R:3 pbc="T T T"
La 0.000 0.000 0.000
Al 3.539 3.539 3.539
Ag 1.770 1.770 1.770
Au 5.309 5.309 5.309
```


Li2SiHgS4: relaxed, PBE.

total energy = -4.11 eV/atom
space-group type = No. 31

Cell and atoms, written as extended XYZ:
```
16
Lattice="7.676 0.000 0.000 0.000 6.780 0.000 0.000 0.000 6.407" Properties=species:S:1:pos:R:3 pbc="T T T"
Li 1.895 1.162 0.000
Li 1.943 5.618 3.204
Li 5.733 5.618 3.204
Li 5.781 1.162 0.000
Si 0.000 4.587 0.020
Si 3.838 2.193 3.223
Hg 0.000 2.413 3.198
Hg 3.838 4.367 6.402
S 0.000 2.534 0.617
S 0.000 4.740 4.293
S 1.700 5.640 0.788
S 2.138 1.140 3.992
S 3.838 2.040 1.089
S 3.838 4.246 3.821
S 5.537 1.140 3.992
S 5.976 5.640 0.788
```


Re5W7: relaxed, PBE.

total energy = -12.42 eV/atom
energy of formation from the pure elements = 0.32 eV/atom
space-group type = No. 194

Cell and atoms, written as extended XYZ:
```
24
Lattice="5.174 0.000 0.000 -2.587 4.481 0.000 0.000 0.000 16.768" Properties=species:S:1:pos:R:3 pbc="T T T"
Re -1.293 2.240 0.000
Re -1.293 2.240 8.384
Re 0.000 2.987 2.094
Re 0.000 2.987 6.290
Re 2.587 0.000 0.000
Re 2.587 0.000 8.384
Re 1.293 2.240 0.000
Re 1.293 2.240 8.384
Re 2.587 1.493 10.478
Re 2.587 1.493 14.674
W 0.000 0.000 1.562
W 0.000 0.000 6.822
W 0.000 0.000 9.946
W 0.000 0.000 15.206
W 0.000 1.459 4.192
W -1.324 3.751 4.192
W 1.263 0.729 12.576
W 0.000 2.987 10.891
W 0.000 2.987 14.261
W 2.587 1.493 2.507
W 2.587 1.493 5.877
W 1.324 3.751 4.192
W 3.911 0.729 12.576
W 2.587 3.022 12.576
```


Li2AgO4: relaxed, PBE.

total energy = -4.02 eV/atom
space-group type = No. 227

Cell and atoms, written as extended XYZ:
```
14
Lattice="0.000 4.176 4.176 4.176 0.000 4.176 4.176 4.176 0.000" Properties=species:S:1:pos:R:3 pbc="T T T"
Li 0.000 0.000 0.000
Li 2.088 2.088 0.000
Li 2.088 0.000 2.088
Li 0.000 2.088 2.088
Ag 3.132 3.132 3.132
Ag 5.220 5.220 5.220
O 6.359 4.082 4.082
O 1.994 1.994 1.994
O 4.271 4.271 1.994
O 4.271 1.994 4.271
O 4.082 6.359 4.082
O 4.082 4.082 6.359
O 6.359 6.359 6.359
O 1.994 4.271 4.271
```


Repeat the sixth record exactly.
DyInPO: relaxed, PBE.

total energy = -5.68 eV/atom
space-group type = No. 129

Cell and atoms, written as extended XYZ:
```
8
Lattice="5.587 0.000 0.000 0.000 5.587 0.000 0.000 0.000 4.959" Properties=species:S:1:pos:R:3 pbc="T T T"
Dy 1.397 4.190 0.000
Dy 4.190 1.397 0.000
In 1.397 1.397 2.452
In 4.190 4.190 2.507
P 1.397 1.397 4.929
P 4.190 4.190 0.030
O 1.397 4.190 2.480
O 4.190 1.397 2.480
```


Repeat the seventh record exactly.
YHo2Te3: relaxed, PBE.

total energy = -5.44 eV/atom
space-group type = No. 164

Cell and atoms, written as extended XYZ:
```
6
Lattice="4.341 0.000 0.000 -2.171 3.760 0.000 0.000 0.000 10.645" Properties=species:S:1:pos:R:3 pbc="T T T"
Y 0.000 0.000 0.000
Ho 0.000 2.506 7.089
Ho 2.171 1.253 3.556
Te 0.000 0.000 5.323
Te 0.000 2.506 1.796
Te 2.171 1.253 8.850
```